HoAlAu: relaxed, PBE.

Results
Calculated density, g cm⁻³: 10.15
M_tot, Bohr magnetons per cell: 0.0
Formation energy, eV/atom: -0.653

Cell: 5.149 8.249 5.989 Å, 90.00 90.00 90.00°
Space group Cmcm (No. 63)
Inequivalent atoms, fractional coordinates:
Ho  0.000  0.156  0.250 x4
Al  0.000  0.500  0.000 x4
Au  0.000  0.192  0.750 x4

---

Dy2Ho5Tm5: relaxed, PBE.

Results
Energy relative to the lowest polymorph listed for this composition, meV per atom: 0
Calculated density, g cm⁻³: 9.07
M_tot, Bohr magnetons per cell: 0.0
Formation energy, eV/atom: 0.022

Cell: 14.861 4.955 11.081 Å, 90.00 116.53 90.00°
Space group C2/m (No. 12)
Inequivalent atoms, fractional coordinates:
Dy  0.083  0.000  0.250 x4
Ho  0.000  0.000  0.500 x2
Ho  0.166  0.000  0.000 x4
Ho  0.249  0.000  0.749 x4
Tm  0.000  0.500  0.000 x2
Tm  0.083  0.500  0.750 x4
Tm  0.167  0.500  0.500 x4

---

FePPb: relaxed, PBE.

Results
Energy relative to the lowest polymorph listed for this composition, meV per atom: 0
Calculated density, g cm⁻³: 8.22
M_tot, Bohr magnetons per cell: 2.4
Formation energy, eV/atom: 0.089

Cell: 3.9067 3.9067 4.4914 Å, 90.00 90.00 120.00°
Space group P-6m2 (No. 187)
Inequivalent atoms, fractional coordinates:
Fe  0.0000  0.0000  0.0000 x1
P  0.6667  0.3333  0.0000 x1
Pb  0.3333  0.6667  0.5000 x1

---

LiMg10Sc4: relaxed, PBE.

Results
Calculated density, g cm⁻³: 1.93
M_tot, Bohr magnetons per cell: 0.0
Formation energy, eV/atom: 0.256

Cell: 8.854 8.854 9.426 Å, 90.00 90.00 90.00°
Space group I4/m (No. 87)
Inequivalent atoms, fractional coordinates:
Li  0.000  0.000  0.000 x2
Mg  0.000  0.500  0.250 x4
Mg  0.131  0.211  0.159 x16
Sc  0.032  0.270  0.500 x8

---

Tb2Pm3Nd8: relaxed, PBE.

Results
Energy relative to the lowest polymorph listed for this composition, meV per atom: 55
Calculated density, g cm⁻³: 6.82
M_tot, Bohr magnetons per cell: 0.0
Formation energy, eV/atom: 0.209

Cell: 20.598 7.748 5.817 Å, 90.00 90.03 90.00°
Space group C2/m (No. 12)
Inequivalent atoms, fractional coordinates:
Tb  0.241  0.000  0.499 x4
Pm  0.000  0.000  0.500 x2
Pm  0.000  0.287  0.000 x4
Nd  0.107  0.292  0.500 x8
Nd  0.134  0.000  0.000 x4
Nd  0.174  0.500  0.001 x4

---

NaH2Br: relaxed, PBE.

Results
Energy relative to the lowest polymorph listed for this composition, meV per atom: 47
Calculated density, g cm⁻³: 1.73
M_tot, Bohr magnetons per cell: 0.0

Cell: 5.059 4.935 8.056 Å, 90.00 90.00 90.00°
Space group Amm2 (No. 38)
Inequivalent atoms, fractional coordinates:
Na  0.000  0.000  0.000 x2
H  0.500  0.077  0.898 x4
Br  0.000  0.000  0.343 x2

---

Th2Be3CuNi12: relaxed, PBE.

Results
Calculated density, g cm⁻³: 8.11
M_tot, Bohr magnetons per cell: 0.0
Formation energy, eV/atom: 0.139

Cell: 7.3441 7.3441 16.5581 Å, 90.00 90.00 120.00°
Space group R-3m (No. 166, hexagonal axes)
Inequivalent atoms, fractional coordinates:
Th  0.0000  0.0000  0.1133 x6
Be  0.0000  0.5000  0.0000 x9
Cu  0.0000  0.0000  0.5000 x3
Ni  0.0106  0.5053  0.8749 x18
Ni  0.0332  0.5166  0.3676 x18

---

Dy4TlCd3: relaxed, PBE.

Results
Energy relative to the lowest polymorph listed for this composition, meV per atom: 52
Calculated density, g cm⁻³: 9.14
M_tot, Bohr magnetons per cell: 0.0
Formation energy, eV/atom: -0.273

Cell: 3.679 4.890 12.029 Å, 90.00 90.00 90.00°
Space group Pmm2 (No. 25)
Inequivalent atoms, fractional coordinates:
Dy  0.000  0.000  0.000 x1
Dy  0.000  0.500  0.315 x1
Dy  0.500  0.000  0.495 x1
Dy  0.500  0.500  0.816 x1
Tl  0.000  0.000  0.734 x1
Cd  0.000  0.500  0.578 x1
Cd  0.500  0.000  0.230 x1
Cd  0.500  0.500  0.082 x1

---

VAgTe2N: relaxed, PBE.

Results
Energy relative to the lowest polymorph listed for this composition, meV per atom: 1063
Calculated density, g cm⁻³: 5.92
M_tot, Bohr magnetons per cell: 4.3
E_form (uncorrected), meV per atom: 1207

Cell: 5.555 5.555 3.890 Å, 90.00 90.00 90.00°
Space group P4/mmm (No. 123)
Inequivalent atoms, fractional coordinates:
V  0.000  0.000  0.000 x1
Ag  0.500  0.500  0.500 x1
Te  0.000  0.500  0.500 x2
N  0.500  0.500  0.000 x1

---

Ba2PrScS5: relaxed, PBE.

Results
Calculated density, g cm⁻³: 4.13
M_tot, Bohr magnetons per cell: 0.0
E_form (uncorrected), meV per atom: -2031

Cell: 4.311 17.366 13.353 Å, 90.00 90.00 90.00°
Space group Cmc2_1 (No. 36)
Inequivalent atoms, fractional coordinates:
Ba  0.000  0.105  0.000 x4
Ba  0.000  0.140  0.619 x4
Pr  0.000  0.213  0.329 x4
Sc  0.000  0.473  0.764 x4
S  0.000  0.048  0.355 x4
S  0.000  0.283  0.970 x4
S  0.000  0.326  0.693 x4
S  0.000  0.376  0.310 x4
S  0.000  0.490  0.089 x4

---

SrCrP2Cl: relaxed, PBE.

Results
Energy relative to the lowest polymorph listed for this composition, meV per atom: 0
Calculated density, g cm⁻³: 3.77
M_tot, Bohr magnetons per cell: 0.0
E_form (uncorrected), meV per atom: -609

Cell: 4.425 4.425 5.331 Å, 90.00 90.00 90.00°
Space group P4/mmm (No. 123)
Inequivalent atoms, fractional coordinates:
Sr  0.000  0.000  0.000 x1
Cr  0.500  0.500  0.500 x1
P  0.000  0.500  0.500 x2
Cl  0.500  0.500  0.000 x1

---

Np3MnHg3Se8: relaxed, PBE.

Results
Calculated density, g cm⁻³: 6.48
M_tot, Bohr magnetons per cell: 11.2
E_form (uncorrected), meV per atom: -633

Cell: 13.651 7.883 10.557 Å, 90.00 115.61 90.00°
Space group C2/m (No. 12)
Inequivalent atoms, fractional coordinates:
Np  0.000  0.000  0.000 x2
Np  0.250  0.250  0.000 x4
Mn  0.000  0.500  0.000 x2
Hg  0.000  0.500  0.500 x2
Hg  0.250  0.250  0.500 x4
Se  0.023  0.273  0.843 x8
Se  0.204  0.500  0.157 x4
Se  0.223  0.000  0.169 x4

---

Q: Among the records above, which one has the highest calculated density?
A: HoAlAu

---

Q: The highest calculated density belongs to which entry?
A: HoAlAu